No. 1
Entry from Alexandria: a relaxed AlCrAs2 crystal (PBE-GGA).

Cell lengths 3.1741, 3.1757, 6.9435 Å; angles 90.00, 90.00, 90.00 degrees
Site moments in Bohr magnetons follow the coordinates.
Fractional positions:
Al (0.5000, 0.5000, 0.7178)  -0.01
As (0.0000, 0.0000, 0.9150)  -0.01
Cr (0.0000, 0.0000, 0.5184)  0.53
As (0.5000, 0.5000, 0.3488)  -0.02

Output
Symmetry = P4mm (99)
Final energy = -5.63 eV/atom
Total magnetic moment = 0.5 μB per formula unit


No. 2
Entry from Alexandria: a relaxed AlCrAs2 crystal (PBE-GGA).

Cell lengths 4.5163, 4.5163, 3.5684 Å; angles 82.30, 82.30, 104.32 degrees
Site moments in Bohr magnetons follow the coordinates.
Fractional positions:
As (0.0000, 0.0000, 0.0000)  -0.08
Al (0.0000, 0.5000, 0.5000)  -0.02
As (0.5000, 0.5000, 0.0000)  -0.08
Cr (0.5000, 0.0000, 0.5000)  3.17

Output
Symmetry = C2/m (12)
Final energy = -5.54 eV/atom
Total magnetic moment = 3.2 μB per formula unit


No. 3
Entry from Alexandria: a relaxed AlCrAs2 crystal (PBE-GGA).

Cell lengths 3.0510, 2.9053, 7.4696 Å; angles 90.02, 90.00, 90.00 degrees
Fractional positions:
Cr (0.5000, 0.2500, 0.2500)
As (0.0000, 0.7499, 0.4449)
Al (0.5000, 0.7500, 0.7500)
As (0.0000, 0.7501, 0.0551)

Output
Symmetry = Pmmm (47)
Final energy = -5.62 eV/atom
Total magnetic moment = 0.0 μB per formula unit